Record 1
Density functional theory data (PBE-GGA) for Hf3TiS4 after structural relaxation.

Results
Space-group type = Pmn2_1, No. 31
Total magnetic moment = 0.0000 μB per atom
ΔE_f (raw) = -1097 meV/atom

Structure (CIF):
```
data_Hf3TiS4
_cell_length_a 7.133
_cell_length_b 6.831
_cell_length_c 6.661
_cell_angle_alpha 90.00
_cell_angle_beta 90.00
_cell_angle_gamma 90.00
_symmetry_space_group_name_H-M 'P 1'
_symmetry_Int_Tables_number 1
_symmetry_space_group_name_Hall 'P 1'
loop_
_atom_site_label
_atom_site_fract_x
_atom_site_fract_y
_atom_site_fract_z
Hf1 0.000 0.207 0.000
Hf2 0.247 0.409 0.594
Hf3 0.253 0.591 0.094
Hf4 0.500 0.793 0.500
Hf5 0.747 0.591 0.094
Hf6 0.753 0.409 0.594
Ti1 0.000 0.777 0.500
Ti2 0.500 0.223 0.000
S1 0.000 0.140 0.634
S2 0.000 0.851 0.152
S3 0.242 0.746 0.743
S4 0.258 0.254 0.243
S5 0.500 0.149 0.652
S6 0.500 0.860 0.134
S7 0.742 0.254 0.243
S8 0.758 0.746 0.743
```

---

Record 2
Density functional theory data (PBE-GGA) for CsTl2CdI5 after structural relaxation.

Results
Space-group type = I4/mcm, No. 140
Total magnetic moment = 0.0000 μB per atom
ΔE_f (raw) = -832 meV/atom

Structure (CIF):
```
data_CsTl2CdI5
_cell_length_a 10.891
_cell_length_b 10.891
_cell_length_c 10.891
_cell_angle_alpha 127.33
_cell_angle_beta 127.33
_cell_angle_gamma 77.71
_symmetry_space_group_name_H-M 'P 1'
_symmetry_Int_Tables_number 1
_symmetry_space_group_name_Hall 'P 1'
loop_
_atom_site_label
_atom_site_fract_x
_atom_site_fract_y
_atom_site_fract_z
Cs1 0.250 0.250 0.000
Cs2 0.750 0.750 0.000
Tl1 0.156 0.656 0.811
Tl2 0.344 0.156 0.500
Tl3 0.656 0.844 0.500
Tl4 0.844 0.344 0.189
Cd1 0.250 0.750 0.500
Cd2 0.750 0.250 0.500
I1 0.000 0.000 0.000
I2 0.015 0.202 0.500
I3 0.202 0.702 0.187
I4 0.298 0.485 0.500
I5 0.485 0.985 0.187
I6 0.500 0.500 0.000
I7 0.515 0.015 0.813
I8 0.702 0.515 0.500
I9 0.798 0.298 0.813
I10 0.985 0.798 0.500
```

---

Record 3
Density functional theory data (PBE-GGA) for Ca2LaI after structural relaxation.

Results
Polymorph energy (0 for the lowest one) = 1.26 eV per formula unit
Space-group type = I-42d, No. 122
Total magnetic moment = 0.0012 μB per atom
ΔE_f (raw) = -192 meV/atom

Structure (CIF):
```
data_Ca2LaI
_cell_length_a 7.650
_cell_length_b 7.650
_cell_length_c 7.650
_cell_angle_alpha 101.38
_cell_angle_beta 101.38
_cell_angle_gamma 127.26
_symmetry_space_group_name_H-M 'P 1'
_symmetry_Int_Tables_number 1
_symmetry_space_group_name_Hall 'P 1'
loop_
_atom_site_label
_atom_site_fract_x
_atom_site_fract_y
_atom_site_fract_z
Ca1 0.067 0.625 0.942
Ca2 0.375 0.317 0.442
Ca3 0.683 0.125 0.058
Ca4 0.875 0.933 0.558
La1 0.250 0.750 0.500
La2 0.500 0.500 0.000
I1 0.000 0.000 0.000
I2 0.750 0.250 0.500
```

---

Record 4
Density functional theory data (PBE-GGA) for K2ZrAs after structural relaxation.

Results
Space-group type = R-3m, No. 166
Total magnetic moment = 0.1063 μB per atom
Energy of formation = 0.491 eV/atom

Structure (CIF):
```
data_K2ZrAs
_cell_length_a 12.594
_cell_length_b 12.594
_cell_length_c 12.594
_cell_angle_alpha 14.97
_cell_angle_beta 14.97
_cell_angle_gamma 14.97
_symmetry_space_group_name_H-M 'P 1'
_symmetry_Int_Tables_number 1
_symmetry_space_group_name_Hall 'P 1'
loop_
_atom_site_label
_atom_site_fract_x
_atom_site_fract_y
_atom_site_fract_z
K1 0.238 0.238 0.238
K2 0.762 0.762 0.762
Zr1 0.000 0.000 0.000
As1 0.500 0.500 0.500
```

---

Record 5
Density functional theory data (PBE-GGA) for Tm2ZnS after structural relaxation.

Results
Polymorph energy (0 for the lowest one) = 2.06 eV per formula unit
Space-group type = R-3m, No. 166
Total magnetic moment = 0.0000 μB per atom
ΔE_f (raw) = -630 meV/atom

Structure (CIF):
```
data_Tm2ZnS
_cell_length_a 9.424
_cell_length_b 9.424
_cell_length_c 9.424
_cell_angle_alpha 22.12
_cell_angle_beta 22.12
_cell_angle_gamma 22.12
_symmetry_space_group_name_H-M 'P 1'
_symmetry_Int_Tables_number 1
_symmetry_space_group_name_Hall 'P 1'
loop_
_atom_site_label
_atom_site_fract_x
_atom_site_fract_y
_atom_site_fract_z
Tm1 0.107 0.107 0.107
Tm2 0.893 0.893 0.893
Zn1 0.000 0.000 0.000
S1 0.500 0.500 0.500
```

---

Record 6
Density functional theory data (PBE-GGA) for NaLiNbBiO6 after structural relaxation.

Results
Space-group type = F-43m, No. 216
Total magnetic moment = 0.0000 μB per atom
ΔE_f (raw) = -1635 meV/atom

Structure (CIF):
```
data_NaLiNbBiO6
_cell_length_a 5.778
_cell_length_b 5.778
_cell_length_c 5.778
_cell_angle_alpha 60.00
_cell_angle_beta 60.00
_cell_angle_gamma 60.00
_symmetry_space_group_name_H-M 'P 1'
_symmetry_Int_Tables_number 1
_symmetry_space_group_name_Hall 'P 1'
loop_
_atom_site_label
_atom_site_fract_x
_atom_site_fract_y
_atom_site_fract_z
Na1 0.000 0.000 0.000
Li1 0.500 0.500 0.500
Nb1 0.750 0.750 0.750
Bi1 0.250 0.250 0.250
O1 0.506 0.506 0.994
O2 0.506 0.994 0.506
O3 0.506 0.994 0.994
O4 0.994 0.506 0.506
O5 0.994 0.506 0.994
O6 0.994 0.994 0.506
```

---

Record 7
Density functional theory data (PBE-GGA) for Mn4Nb5Fe after structural relaxation.

Results
Space-group type = P4/mmm, No. 123
Total magnetic moment = 0.0720 μB per atom
Energy of formation = -0.100 eV/atom

Structure (CIF):
```
data_Mn4Nb5Fe
_cell_length_a 3.071
_cell_length_b 3.071
_cell_length_c 15.325
_cell_angle_alpha 90.00
_cell_angle_beta 90.00
_cell_angle_gamma 90.00
_symmetry_space_group_name_H-M 'P 1'
_symmetry_Int_Tables_number 1
_symmetry_space_group_name_Hall 'P 1'
loop_
_atom_site_label
_atom_site_fract_x
_atom_site_fract_y
_atom_site_fract_z
Mn1 0.000 0.000 0.100
Mn2 0.000 0.000 0.300
Mn3 0.000 0.000 0.700
Mn4 0.000 0.000 0.900
Nb1 0.500 0.500 0.000
Nb2 0.500 0.500 0.200
Nb3 0.500 0.500 0.400
Nb4 0.500 0.500 0.600
Nb5 0.500 0.500 0.800
Fe1 0.000 0.000 0.500
```

---

Record 8
Density functional theory data (PBE-GGA) for Ba2Al2Ge2P after structural relaxation.

Results
Space-group type = C2/m, No. 12
Total magnetic moment = 0.0000 μB per atom
Energy of formation = -0.540 eV/atom

Structure (CIF):
```
data_Ba2Al2Ge2P
_cell_length_a 6.955
_cell_length_b 6.955
_cell_length_c 8.211
_cell_angle_alpha 122.16
_cell_angle_beta 122.16
_cell_angle_gamma 35.72
_symmetry_space_group_name_H-M 'P 1'
_symmetry_Int_Tables_number 1
_symmetry_space_group_name_Hall 'P 1'
loop_
_atom_site_label
_atom_site_fract_x
_atom_site_fract_y
_atom_site_fract_z
Ba1 0.059 0.059 0.320
Ba2 0.941 0.941 0.680
Al1 0.301 0.301 0.935
Al2 0.699 0.699 0.065
Ge1 0.318 0.318 0.271
Ge2 0.682 0.682 0.729
P1 0.500 0.500 0.000
```

---

Record 9
Density functional theory data (PBE-GGA) for TbNdEuIn after structural relaxation.

Results
Space-group type = F-43m, No. 216
Total magnetic moment = 1.8716 μB per atom
Energy of formation = -0.146 eV/atom

Structure (CIF):
```
data_TbNdEuIn
_cell_length_a 5.581
_cell_length_b 5.581
_cell_length_c 5.581
_cell_angle_alpha 60.00
_cell_angle_beta 60.00
_cell_angle_gamma 60.00
_symmetry_space_group_name_H-M 'P 1'
_symmetry_Int_Tables_number 1
_symmetry_space_group_name_Hall 'P 1'
loop_
_atom_site_label
_atom_site_fract_x
_atom_site_fract_y
_atom_site_fract_z
Tb1 0.000 0.000 0.000
Nd1 0.500 0.500 0.500
Eu1 0.250 0.250 0.250
In1 0.750 0.750 0.750
```

---

Record 10
Density functional theory data (PBE-GGA) for NdY4Ag after structural relaxation.

Results
Polymorph energy (0 for the lowest one) = 0.80 eV per formula unit
Space-group type = Cmc2_1, No. 36
Total magnetic moment = 0.0000 μB per atom
Energy of formation = 0.052 eV/atom

Structure (CIF):
```
data_NdY4Ag
_cell_length_a 10.959
_cell_length_b 10.959
_cell_length_c 6.535
_cell_angle_alpha 90.00
_cell_angle_beta 90.00
_cell_angle_gamma 151.17
_symmetry_space_group_name_H-M 'P 1'
_symmetry_Int_Tables_number 1
_symmetry_space_group_name_Hall 'P 1'
loop_
_atom_site_label
_atom_site_fract_x
_atom_site_fract_y
_atom_site_fract_z
Nd1 0.136 0.864 0.500
Nd2 0.864 0.136 0.000
Y1 0.067 0.933 0.006
Y2 0.259 0.741 0.131
Y3 0.325 0.675 0.641
Y4 0.466 0.534 0.850
Y5 0.534 0.466 0.350
Y6 0.675 0.325 0.141
Y7 0.741 0.259 0.631
Y8 0.933 0.067 0.506
Ag1 0.399 0.601 0.255
Ag2 0.601 0.399 0.755
```

---

Record 11
Density functional theory data (PBE-GGA) for Pu2HfTc after structural relaxation.

Results
Space-group type = R-3m, No. 166
Total magnetic moment = 2.4784 μB per atom
Energy of formation = 0.397 eV/atom

Structure (CIF):
```
data_Pu2HfTc
_cell_length_a 10.506
_cell_length_b 10.506
_cell_length_c 10.506
_cell_angle_alpha 17.20
_cell_angle_beta 17.20
_cell_angle_gamma 17.20
_symmetry_space_group_name_H-M 'P 1'
_symmetry_Int_Tables_number 1
_symmetry_space_group_name_Hall 'P 1'
loop_
_atom_site_label
_atom_site_fract_x
_atom_site_fract_y
_atom_site_fract_z
Pu1 0.096 0.096 0.096
Pu2 0.904 0.904 0.904
Hf1 0.000 0.000 0.000
Tc1 0.500 0.500 0.500
```

---

Record 12
Density functional theory data (PBE-GGA) for Zr2NbTe after structural relaxation.

Results
Space-group type = R-3m, No. 166
Total magnetic moment = 0.0001 μB per atom
ΔE_f (raw) = -129 meV/atom

Structure (CIF):
```
data_Zr2NbTe
_cell_length_a 8.904
_cell_length_b 8.904
_cell_length_c 8.904
_cell_angle_alpha 22.63
_cell_angle_beta 22.63
_cell_angle_gamma 22.63
_symmetry_space_group_name_H-M 'P 1'
_symmetry_Int_Tables_number 1
_symmetry_space_group_name_Hall 'P 1'
loop_
_atom_site_label
_atom_site_fract_x
_atom_site_fract_y
_atom_site_fract_z
Zr1 0.249 0.249 0.249
Zr2 0.751 0.751 0.751
Nb1 0.500 0.500 0.500
Te1 0.000 0.000 0.000
```